Density functional theory data (PBE) for a geometry-optimized Ta2TcPd2 structure.

Cell lengths 7.7312, 7.7312, 2.7991 Å; angles 90.00, 90.00, 90.00 degrees
Fractional coordinates of all 10 atoms:
Ta: 0.1765 0.3235 0.0000
Ta: 0.3235 0.8235 0.0000
Ta: 0.6765 0.1765 0.0000
Ta: 0.8235 0.6765 0.0000
Tc: 0.0000 0.0000 0.5000
Tc: 0.5000 0.5000 0.5000
Pd: 0.1224 0.6224 0.5000
Pd: 0.3776 0.1224 0.5000
Pd: 0.6224 0.8776 0.5000
Pd: 0.8776 0.3776 0.5000

space group: No. 127
DFT formation energy: 38 meV per atom
total energy: -88.529 eV/cell
density of states at the Fermi level: 9.148 states/eV/cell
total moment: 0.0 Bohr magnetons per cell